(1)
NaIn4Pd4 | PBE | relaxed

Cell: 5.3742 8.9860 8.9860 Å, 90.00 90.00 90.00°
Element x y z (fractional)
Na1 0.0000 0.0000 0.0000
Na2 0.5000 0.5000 0.5000
In1 0.4044 0.3472 0.8684
In2 0.5956 0.1316 0.3472
Pd1 0.0960 0.1513 0.3302
Pd2 0.5960 0.8302 0.3487
Pd3 0.9040 0.6698 0.1513
Pd4 0.4040 0.3487 0.1698
In3 0.0956 0.1528 0.6316
In4 0.9044 0.3684 0.1528
In5 0.9044 0.6316 0.8472
In6 0.0956 0.8472 0.3684
Pd5 0.4040 0.6513 0.8302
Pd6 0.5960 0.1698 0.6513
Pd7 0.0960 0.8487 0.6698
Pd8 0.9040 0.3302 0.8487
In7 0.4044 0.6528 0.1316
In8 0.5956 0.8684 0.6528

Values from the calculation:
Formation enthalpy at 0 K: -2.67 eV/f.u.
VASP energy: -0.2916 Ry per atom
Crystal system: tetragonal
Volume: 24.1 Å³ per atom
Fermi-level density of states: 0.41 states/eV/atom

(2)
NaIn2Pd2 | PBE | relaxed

Cell: 7.8817 7.8817 3.1768 Å, 90.00 90.00 90.00°
Element x y z (fractional)
Pd1 0.8598 0.6402 0.0000
Pd2 0.6402 0.1402 0.0000
In1 0.8444 0.3444 0.5000
Na1 0.0000 0.0000 0.0000
In2 0.1556 0.6556 0.5000
Na2 0.5000 0.5000 0.0000
Pd3 0.3598 0.8598 0.0000
In3 0.3444 0.1556 0.5000
Pd4 0.1402 0.3598 0.0000
In4 0.6556 0.8444 0.5000

Values from the calculation:
Formation enthalpy at 0 K: -2.27 eV/f.u.
VASP energy: -0.2859 Ry per atom
Crystal system: tetragonal
Volume: 19.7 Å³ per atom
ΔE to the lowest computed polymorph: 0 meV per atom
Fermi-level density of states: 0.40 states/eV/atom

(3)
NaIn4Pd5 | PBE | relaxed

Cell: 3.3169 3.3169 16.7461 Å, 90.00 90.00 90.00°
Element x y z (fractional)
In1 0.0000 0.0000 0.4024
Pd1 0.5000 0.5000 0.3078
In2 0.0000 0.0000 0.2066
In3 0.0000 0.0000 0.7934
Pd2 0.5000 0.5000 0.5000
Pd3 0.5000 0.5000 0.6922
Pd4 0.5000 0.5000 0.1201
In4 0.0000 0.0000 0.5976
Na1 0.0000 0.0000 0.0000
Pd5 0.5000 0.5000 0.8799

Values from the calculation:
Formation enthalpy at 0 K: -4.34 eV/f.u.
VASP energy: -0.3130 Ry per atom
Crystal system: tetragonal
Volume: 18.4 Å³ per atom
Fermi-level density of states: 0.37 states/eV/atom

(4)
Na2In6Pd | PBE | relaxed

Cell: 3.5137 8.7331 8.7331 Å, 120.00 90.00 90.00°
Element x y z (fractional)
In1 0.5000 0.6503 0.6503
In2 0.0000 0.0000 0.7448
In3 0.5000 0.0000 0.3497
Pd1 0.5000 0.0000 0.0000
Na1 0.0000 0.3333 0.6667
Na2 0.0000 0.6667 0.3333
In4 0.0000 0.7448 0.0000
In5 0.0000 0.2552 0.2552
In6 0.5000 0.3497 0.0000

Values from the calculation:
Formation enthalpy at 0 K: -1.12 eV/f.u.
VASP energy: -0.2073 Ry per atom
Crystal system: hexagonal
Volume: 25.8 Å³ per atom
ΔE to the lowest computed polymorph: 42 meV per atom
Fermi-level density of states: 0.55 states/eV/atom

(5)
NaIn8Pd6 | PBE | relaxed

Cell: 7.2490 7.2490 7.2490 Å, 66.87 66.87 66.87°
Element x y z (fractional)
Pd1 0.3944 0.7098 0.0510
In1 0.2057 0.5644 0.8792
In2 0.1208 0.7943 0.4356
Pd2 0.2902 0.9490 0.6056
Na1 0.0000 0.0000 0.0000
Pd3 0.7098 0.0510 0.3944
In3 0.3327 0.3327 0.3327
In4 0.8792 0.2057 0.5644
In5 0.6673 0.6673 0.6673
In6 0.7943 0.4356 0.1208
In7 0.5644 0.8792 0.2057
Pd4 0.0510 0.3944 0.7098
Pd5 0.6056 0.2902 0.9490
Pd6 0.9490 0.6056 0.2902
In8 0.4356 0.1208 0.7943

Values from the calculation:
Formation enthalpy at 0 K: -6.62 eV/f.u.
VASP energy: -0.2989 Ry per atom
Crystal system: trigonal
Volume: 20.6 Å³ per atom
Fermi-level density of states: 0.17 states/eV/atom

(6)
NaIn5Pd4 | PBE | relaxed

Cell: 3.3199 3.3199 17.9895 Å, 90.00 90.00 90.00°
Element x y z (fractional)
Pd1 0.0000 0.0000 0.4107
In1 0.5000 0.5000 0.6822
Pd2 0.0000 0.0000 0.5893
In2 0.5000 0.5000 0.3178
Pd3 0.0000 0.0000 0.2306
Na1 0.0000 0.0000 0.0000
In3 0.5000 0.5000 0.8656
Pd4 0.0000 0.0000 0.7694
In4 0.5000 0.5000 0.1344
In5 0.5000 0.5000 0.5000

Values from the calculation:
Formation enthalpy at 0 K: -4.17 eV/f.u.
VASP energy: -0.2937 Ry per atom
Crystal system: tetragonal
Volume: 19.8 Å³ per atom
Fermi-level density of states: 0.38 states/eV/atom

(7)
Na3In7Pd4 | PBE | relaxed

Cell: 4.5728 8.7536 9.1282 Å, 67.55 75.49 74.86°
Element x y z (fractional)
In1 0.8388 0.3969 0.9255
Na1 0.6916 0.8144 0.8024
Na2 0.0000 0.5000 0.5000
Pd1 0.1168 0.0991 0.6672
In2 0.6903 0.1552 0.4643
In3 0.4987 0.2248 0.7777
In4 0.5013 0.7752 0.2223
Pd2 0.8832 0.9009 0.3328
In5 0.1612 0.6031 0.0745
Pd3 0.6655 0.4525 0.2165
In6 0.0000 0.0000 0.0000
In7 0.3097 0.8448 0.5357
Pd4 0.3345 0.5475 0.7835
Na3 0.3084 0.1856 0.1976

Values from the calculation:
Formation enthalpy at 0 K: -4.37 eV/f.u.
VASP energy: -0.2534 Ry per atom
Crystal system: monoclinic
Volume: 22.9 Å³ per atom
Fermi-level density of states: 0.49 states/eV/atom

(8)
Na2In5Pd | PBE | relaxed

Cell: 5.1610 6.7519 6.7519 Å, 90.00 90.00 90.00°
Element x y z (fractional)
Na1 0.5000 0.5000 0.0000
Na2 0.5000 0.0000 0.5000
In1 0.0000 0.7189 0.2811
In2 0.0000 0.7189 0.7189
In3 0.5000 0.0000 0.0000
In4 0.0000 0.2811 0.7189
In5 0.0000 0.2811 0.2811
Pd1 0.0000 0.0000 0.0000

Values from the calculation:
Formation enthalpy at 0 K: -0.69 eV/f.u.
VASP energy: -0.2041 Ry per atom
Crystal system: tetragonal
Volume: 29.4 Å³ per atom
Fermi-level density of states: 0.43 states/eV/atom

(9)
NaIn2Pd4 | PBE | relaxed

Cell: 4.4399 7.8564 7.8564 Å, 90.00 90.00 90.00°
Element x y z (fractional)
Pd1 0.0000 0.3632 0.1045
Pd2 0.0000 0.8955 0.6368
Na1 0.5000 0.0000 0.0000
In1 0.5000 0.7173 0.7173
Pd3 0.5000 0.6045 0.1368
Pd4 0.5000 0.1368 0.6045
In2 0.5000 0.2827 0.2827
In3 0.0000 0.2173 0.7827
Pd5 0.0000 0.1045 0.3632
Pd6 0.5000 0.3955 0.8632
In4 0.0000 0.7827 0.2173
Pd7 0.0000 0.6368 0.8955
Pd8 0.5000 0.8632 0.3955
Na2 0.0000 0.5000 0.5000

Values from the calculation:
Formation enthalpy at 0 K: -2.62 eV/f.u.
VASP energy: -0.3170 Ry per atom
Crystal system: tetragonal
Volume: 19.6 Å³ per atom
ΔE to the lowest computed polymorph: 0 meV per atom
Fermi-level density of states: 0.28 states/eV/atom

(10)
Na2In2Pd | PBE | relaxed

Cell: 5.9539 6.9522 12.3974 Å, 98.33 90.00 90.00°
Element x y z (fractional)
Pd1 0.2500 0.9674 0.3723
In1 0.2498 0.6721 0.1959
Na1 0.7502 0.1337 0.0306
Na2 0.2502 0.3663 0.9694
In2 0.7498 0.8279 0.8041
Na3 0.7498 0.6337 0.0306
Na4 0.7498 0.9461 0.2896
In3 0.2502 0.1721 0.1959
Na5 0.7502 0.4461 0.2896
In4 0.5000 0.7500 0.5000
Pd2 0.7500 0.5326 0.6277
Pd3 0.7500 0.0326 0.6277
Na6 0.2498 0.5539 0.7104
Na7 0.2502 0.0539 0.7104
In5 0.0000 0.7500 0.5000
Pd4 0.2500 0.4674 0.3723
Na8 0.2498 0.8663 0.9694
In6 0.7502 0.3279 0.8041
In7 0.5000 0.2500 0.5000
In8 0.0000 0.2500 0.5000

Values from the calculation:
Formation enthalpy at 0 K: -1.12 eV/f.u.
VASP energy: -0.2121 Ry per atom
Crystal system: monoclinic
Volume: 25.4 Å³ per atom
ΔE to the lowest computed polymorph: 0 meV per atom
Fermi-level density of states: 0.38 states/eV/atom

(11)
Na2In9Pd3 | PBE | relaxed

Cell: 8.2475 8.2475 11.7036 Å, 90.34 110.26 120.01°
Element x y z (fractional)
In1 0.5469 0.1977 0.5686
Pd1 0.1680 0.8340 0.5008
Pd2 0.8320 0.1660 0.4992
In2 0.6689 0.6881 0.7509
Na1 0.0019 0.4156 0.2504
In3 0.4377 0.6318 0.9217
In4 0.8987 0.1487 0.7500
In5 0.2100 0.5159 0.5783
Pd3 0.5000 0.5000 0.5000
In6 0.3311 0.3119 0.2491
In7 0.4372 0.9180 0.7491
Na2 0.6653 0.7516 0.2496
In8 0.8709 0.0217 0.0686
Na3 0.9981 0.5844 0.7496
In9 0.5623 0.3682 0.0783
In10 0.7826 0.3150 0.9233
Pd4 0.8332 0.6672 0.9992
In11 0.1291 0.9783 0.9314
In12 0.2174 0.6850 0.0767
Pd5 0.1668 0.3328 0.0008
In13 0.8918 0.8594 0.5767
Na4 0.3347 0.2484 0.7504
In14 0.1082 0.1406 0.4233
In15 0.5628 0.0820 0.2509
In16 0.7900 0.4841 0.4217
In17 0.1013 0.8513 0.2500
Pd6 0.5000 0.0000 0.0000
In18 0.4531 0.8023 0.4314

Values from the calculation:
Formation enthalpy at 0 K: -4.10 eV/f.u.
VASP energy: -0.2465 Ry per atom
Crystal system: monoclinic
Volume: 22.5 Å³ per atom
Fermi-level density of states: 0.27 states/eV/atom